Entry from the Alexandria database: ErIn3Hg3 after structural relaxation (PBE).

Structure (extended XYZ):
```
14
Lattice="7.372 0.026 -0.071 0.043 7.372 -0.071 0.074 0.074 6.744" Properties=species:S:1:pos:R:3 pbc="T T T"
In 2.147 5.264 -0.071
In 5.268 2.135 -0.071
In 4.877 2.601 3.301
In 1.738 1.734 3.336
In 2.612 4.871 3.301
In 5.752 5.739 3.266
Er 5.459 5.447 -0.104
Er 2.030 2.026 6.706
Hg 3.784 7.440 4.917
Hg 7.432 7.415 1.420
Hg 7.449 3.767 4.917
Hg 0.058 0.058 5.182
Hg 0.040 3.706 1.685
Hg 3.706 0.032 1.685
```

Summary:
Mass density in g cm⁻³: 10.09
DOS(E_F) in states/eV per cell: 7.4
E_form in eV/atom: -0.12



Entry from the Alexandria database: Er12In5Hg3 after structural relaxation (PBE).

Structure (extended XYZ):
```
80
Lattice="15.273 0.000 0.000 -5.091 14.400 0.000 -5.091 -7.200 12.471" Properties=species:S:1:pos:R:3 pbc="T T T"
In -1.273 3.600 3.118
In 7.637 0.000 0.000
In 3.818 10.800 3.118
In -3.818 8.100 4.676
In -1.273 0.900 7.794
In 1.273 -3.600 9.353
In 6.364 6.300 4.676
In 0.000 0.000 0.000
In 2.546 3.600 6.235
In 5.091 -3.600 6.235
In 6.364 -4.500 10.912
In -2.546 -3.600 6.235
In 3.818 2.700 1.559
In 1.273 4.500 10.912
In 8.909 -0.900 7.794
In 5.091 7.200 0.000
In -5.091 3.600 6.235
In -2.546 7.200 0.000
In -1.273 11.700 1.559
In 6.364 3.600 9.353
Er 5.485 -1.694 11.330
Er -1.961 -0.798 5.457
Er -2.644 3.532 7.911
Er 2.447 9.383 5.339
Er -2.644 -5.715 11.692
Er -1.666 -3.909 9.051
Er 4.992 2.183 7.132
Er 10.577 7.059 2.037
Er -5.190 10.732 4.560
Er -5.485 0.141 10.434
Er 2.151 -1.835 11.574
Er 4.507 -1.525 4.198
Er 10.083 1.485 0.779
Er 3.425 6.193 5.095
Er 5.971 -1.007 7.376
Er -4.992 5.715 11.692
Er 1.666 1.007 7.376
Er 2.940 5.506 1.140
Er 7.736 3.668 4.560
Er 0.584 8.725 8.272
Er -4.507 6.402 7.014
Er -0.584 0.727 2.816
Er 9.302 -4.916 10.795
Er -0.394 5.365 0.897
Er 6.757 2.284 1.675
Er 2.151 1.694 11.330
Er 9.598 0.798 5.457
Er -1.666 4.916 10.795
Er -0.394 8.894 1.140
Er 3.130 1.525 4.198
Er 0.099 5.017 5.339
Er 7.052 7.998 7.014
Er 10.281 -3.532 7.911
Er 8.221 -0.727 2.816
Er -5.971 3.909 9.051
Er 1.961 5.675 8.272
Er -4.211 12.116 1.675
Er 5.485 1.835 11.574
Er 7.736 12.915 0.779
Er 6.757 11.109 3.420
Er -2.151 -0.141 10.434
Er 5.676 6.473 9.655
Er 2.940 9.034 0.897
Er 11.062 3.291 3.420
Er 7.242 7.341 2.037
Er -3.130 7.926 9.655
Er -0.880 8.207 5.095
Er 2.644 -2.183 7.132
Hg 11.455 0.000 3.118
Hg 6.364 0.900 4.676
Hg -6.364 7.200 9.353
Hg 1.273 -0.900 4.676
Hg 8.909 9.900 1.559
Hg 1.273 7.200 3.118
Hg 8.909 4.500 1.559
Hg -3.818 -2.700 10.912
Hg 3.818 0.000 9.353
Hg 3.818 8.100 7.794
Hg -1.273 6.300 7.794
Hg -3.818 2.700 10.912
```

Summary:
Mass density in g cm⁻³: 7.71
DOS(E_F) in states/eV per cell: 120.6
E_form in eV/atom: 0.22



- Look up the E_form of the second one.
  0.22 eV/atom



- Among the records above, which one has the highest DOS(E_F)?
  Er12In5Hg3



- E_form of number 1 (ErIn3Hg3)?
  -0.12 eV/atom